No. 1
The following is a GGA-PBE calculation of crystalline Tb4Dy19Th6 at its relaxed geometry, from Alexandria.

Energy of formation, eV/atom: 0.42
V, Å³ per atom: 33.18
Electronic total energy, eV per atom: -4.769

a b c (Å): 10.7725 10.7725 10.7725
angles (deg): 109.47 109.47 109.47
Closest atoms and distances in Å follow each position.
Atoms (fractional coordinates):
Tb 0.0000 0.0000 0.6435  9 Dy 3.31-3.42
Tb 0.0000 0.6435 0.0000  9 Dy 3.31-3.42
Tb 0.3565 0.3565 0.3565  9 Dy 3.31-3.42
Tb 0.6435 0.0000 0.0000  9 Dy 3.31-3.42
Dy 0.0000 0.0000 0.0000  6 Dy 3.29
Dy 0.0000 0.2645 0.2645  5 Dy 3.29-3.55, 2 Tb 3.31, 2 Th 3.34
Dy 0.0000 0.7355 0.7355  5 Dy 3.29-3.55, 2 Tb 3.31, 2 Th 3.34
Dy 0.0195 0.8076 0.3430  1 Th 3.21, 4 Dy 3.31-3.57, 2 Tb 3.33-3.42
Dy 0.1924 0.2120 0.5355  1 Th 3.21, 4 Dy 3.31-3.57, 2 Tb 3.33-3.42
Dy 0.2120 0.5355 0.1924  1 Th 3.21, 4 Dy 3.31-3.57, 2 Tb 3.33-3.42
Dy 0.2645 0.0000 0.2645  5 Dy 3.29-3.55, 2 Tb 3.31, 2 Th 3.34
Dy 0.2645 0.2645 0.0000  5 Dy 3.29-3.55, 2 Tb 3.31, 2 Th 3.34
Dy 0.3235 0.7880 0.9805  1 Th 3.21, 4 Dy 3.31-3.57, 2 Tb 3.33-3.42
Dy 0.3430 0.0195 0.8076  1 Th 3.21, 4 Dy 3.31-3.57, 2 Tb 3.33-3.42
Dy 0.4645 0.6765 0.6570  1 Th 3.21, 4 Dy 3.31-3.57, 2 Tb 3.33-3.42
Dy 0.5355 0.1924 0.2120  1 Th 3.21, 4 Dy 3.31-3.57, 2 Tb 3.33-3.42
Dy 0.6570 0.4645 0.6765  1 Th 3.21, 4 Dy 3.31-3.57, 2 Tb 3.33-3.42
Dy 0.6765 0.6570 0.4645  1 Th 3.21, 4 Dy 3.31-3.57, 2 Tb 3.33-3.42
Dy 0.7355 0.0000 0.7355  5 Dy 3.29-3.55, 2 Tb 3.31, 2 Th 3.34
Dy 0.7355 0.7355 0.0000  5 Dy 3.29-3.55, 2 Tb 3.31, 2 Th 3.34
Dy 0.7880 0.9805 0.3235  1 Th 3.21, 4 Dy 3.31-3.57, 2 Tb 3.33-3.42
Dy 0.8076 0.3430 0.0195  1 Th 3.21, 4 Dy 3.31-3.57, 2 Tb 3.33-3.42
Dy 0.9805 0.3235 0.7880  1 Th 3.21, 4 Dy 3.31-3.57, 2 Tb 3.33-3.42
Th 0.1295 0.6295 0.5000  4 Dy 3.21-3.34, 1 Th 3.22
Th 0.3705 0.5000 0.8705  4 Dy 3.21-3.34, 1 Th 3.22
Th 0.5000 0.1295 0.6295  4 Dy 3.21-3.34, 1 Th 3.22
Th 0.5000 0.8705 0.3705  4 Dy 3.21-3.34, 1 Th 3.22
Th 0.6295 0.5000 0.1295  4 Dy 3.21-3.34, 1 Th 3.22
Th 0.8705 0.3705 0.5000  4 Dy 3.21-3.34, 1 Th 3.22

***

No. 2
The following is a GGA-PBE calculation of crystalline Ru3IO at its relaxed geometry, from Alexandria.

Uncorrected formation energy, eV/f.u.: 11.56
V, Å³ per atom: 23.20
Electronic total energy, eV per atom: -4.556

a b c (Å): 4.8768 4.8768 4.8768
angles (deg): 90.00 90.00 90.00
Closest atoms and distances in Å follow each position.
Atoms (fractional coordinates):
Ru 0.0000 0.0000 0.5000  2 I 2.44
Ru 0.0000 0.5000 0.0000  2 I 2.44
Ru 0.5000 0.0000 0.0000  2 I 2.44
I 0.0000 0.0000 0.0000  6 Ru 2.44
O 0.5000 0.5000 0.5000  12 Ru 3.45

***

No. 3
The following is a GGA-PBE calculation of crystalline TcP2Au at its relaxed geometry, from Alexandria.

Energy of formation, eV/atom: 0.40
V, Å³ per atom: 14.86
Electronic total energy, eV per atom: -5.718

a b c (Å): 4.5730 4.5730 4.5730
angles (deg): 126.75 126.75 78.66
Closest atoms and distances in Å follow each position.
Atoms (fractional coordinates):
Tc 0.0000 0.0000 0.0000  8 P 2.71, 4 Au 2.90
P 0.2500 0.7500 0.5000  4 Au 2.71, 4 Tc 2.71, 4 P 2.90
P 0.7500 0.2500 0.5000  4 Au 2.71, 4 Tc 2.71, 4 P 2.90
Au 0.5000 0.5000 0.0000  8 P 2.71, 4 Tc 2.90